# 1
DFT (GGA-PBE) results for an optimized crystal structure of InTeCl2.

The space group is I4/mmm (No. 139) and the conventional cell measures 4.610, 4.610 and 9.364 Å, with angles of 90.00, 90.00 and 90.00 degrees. Symmetry generates all atoms from In at (0.000, 0.000, 0.000), Te at (0.000, 0.000, 0.500) and Cl at (0.000, 0.500, 0.250).

The polymorph energy (0 for the lowest one) is 564 meV/atom.

---

# 2
DFT (GGA-PBE) results for an optimized crystal structure of InTeCl2.

The space group is F-43m (No. 216) and the conventional cell measures 7.273, 7.273 and 7.273 Å, with angles of 90.00, 90.00 and 90.00 degrees. Symmetry generates all atoms from In at (0.000, 0.000, 0.000), Te at (0.250, 0.250, 0.750), Cl at (0.000, 0.000, 0.500) and Cl at (0.250, 0.250, 0.250).

The polymorph energy (0 for the lowest one) is 491 meV/atom.

---

# 3
DFT (GGA-PBE) results for an optimized crystal structure of InTeCl2.

The space group is Cmm2 (No. 35) and the conventional cell measures 4.341, 7.070 and 8.587 Å, with angles of 90.00, 90.00 and 90.00 degrees. Symmetry generates all atoms from In at (0.000, 0.000, 0.000), Te at (0.000, 0.500, 0.228), Cl at (0.000, 0.000, 0.418) and Cl at (0.000, 0.500, 0.802).

The polymorph energy (0 for the lowest one) is 399 meV/atom.

---

# 4
DFT (GGA-PBE) results for an optimized crystal structure of InTeCl2.

The space group is Pmmm (No. 47) and the conventional cell measures 3.377, 4.593 and 6.477 Å, with angles of 90.00, 90.00 and 90.00 degrees. Symmetry generates all atoms from In at (0.000, 0.000, 0.000), Te at (0.000, 0.000, 0.500) and Cl at (0.500, 0.500, 0.252).

The polymorph energy (0 for the lowest one) is 540 meV/atom.

---

# 5
DFT (GGA-PBE) results for an optimized crystal structure of InTeCl2.

The space group is Cmmm (No. 65) and the conventional cell measures 7.663, 8.001 and 3.395 Å, with angles of 90.00, 90.00 and 90.00 degrees. Symmetry generates all atoms from In at (0.000, 0.000, 0.000), Te at (0.000, 0.500, 0.000) and Cl at (0.250, 0.250, 0.500).

The polymorph energy (0 for the lowest one) is 490 meV/atom.

---

# 6
DFT (GGA-PBE) results for an optimized crystal structure of In2Te2Cl.

The space group is P4/mbm (No. 127) and the conventional cell measures 8.394, 8.394 and 3.943 Å, with angles of 90.00, 90.00 and 90.00 degrees. Symmetry generates all atoms from In at (0.165, 0.335, 0.000), Te at (0.145, 0.645, 0.500) and Cl at (0.000, 0.000, 0.000).

The polymorph energy (0 for the lowest one) is 170 meV/atom.

---

# 7
DFT (GGA-PBE) results for an optimized crystal structure of InTeCl2.

The space group is R-3m (No. 166, hexagonal axes) and the conventional cell measures 3.7558, 3.7558 and 29.0803 Å, with angles of 90.00, 90.00 and 120.00 degrees. Symmetry generates all atoms from In at (0.0000, 0.0000, 0.0000), Te at (0.0000, 0.0000, 0.5000) and Cl at (0.0000, 0.0000, 0.4106).

The polymorph energy (0 for the lowest one) is 279 meV/atom.

---

# 8
DFT (GGA-PBE) results for an optimized crystal structure of InTeCl2.

The space group is R3m (No. 160, hexagonal axes) and the conventional cell measures 4.4198, 4.4198 and 22.7545 Å, with angles of 90.00, 90.00 and 120.00 degrees. Symmetry generates all atoms from In at (0.0000, 0.0000, 0.0000), Te at (0.0000, 0.0000, 0.2743), Cl at (0.0000, 0.0000, 0.5326) and Cl at (0.0000, 0.0000, 0.7303).

The polymorph energy (0 for the lowest one) is 338 meV/atom.

---

no.,formation energy (no corrections) (meV/atom),energy (eV/atom),total magnetization (μB per formula unit)
1,-99,-2.492,0.000
2,-172,-2.565,0.002
3,-264,-2.657,0.000
4,-123,-2.517,0.000
5,-173,-2.566,0.000
6,-295,-3.017,0.000
7,-384,-2.778,0.000
8,-325,-2.718,0.660